KMgRe | GGA-PBE | relaxed

Cell: 2.893 2.893 8.576 Å, 90.00 90.00 120.00°
Element x y z (fractional)
1 K 0.000 0.000 0.000
2 Mg 0.667 0.333 0.389
3 Re 0.333 0.667 0.660

Summary:
* DFT formation energy: 0.892 eV per atom
* polymorph energy (0 for the lowest one): 0.012 eV per atom
* electronic total energy: -12.46 eV per cell
* SG: No. 156
* calculated volume: 62 Å³/cell